First-principles (PBE) data for Li2AcSiS4 after structural relaxation, as listed in the Alexandria database.

Calculated values
**Formation energy from raw total energies**: -1.211 eV per atom

Cell: 9.3131 6.1003 6.1048 Å, 90.00 90.00 90.00°
Atoms (fractional coordinates):
1 Li 0.2482 0.2272 0.0000
2 Li 0.2518 0.7728 0.5000
3 Li 0.7482 0.7728 0.5000
4 Li 0.7518 0.2272 0.0000
5 Ac 0.0000 0.2152 0.5017
6 Ac 0.5000 0.7848 0.0017
7 Si 0.0000 0.7005 0.9775
8 Si 0.5000 0.2995 0.4775
9 S 0.0000 0.3459 0.0161
10 S 0.0000 0.7204 0.6201
11 S 0.1932 0.8500 0.1226
12 S 0.3068 0.1500 0.6226
13 S 0.5000 0.2796 0.1201
14 S 0.5000 0.6541 0.5161
15 S 0.6932 0.1500 0.6226
16 S 0.8068 0.8500 0.1226

=====

First-principles (PBE) data for LiAcSi2S6 after structural relaxation, as listed in the Alexandria database.

Calculated values
**Formation energy from raw total energies**: -1.102 eV per atom

Cell: 9.0385 9.0385 5.9620 Å, 96.68 96.68 93.28°
Atoms (fractional coordinates):
1 Li 0.1383 0.8617 0.7500
2 Li 0.8617 0.1383 0.2500
3 Ac 0.3726 0.6274 0.2500
4 Ac 0.6274 0.3726 0.7500
5 Si 0.1298 0.2846 0.7481
6 Si 0.2846 0.1298 0.2481
7 Si 0.7154 0.8702 0.7519
8 Si 0.8702 0.7154 0.2519
9 S 0.0777 0.6713 0.4113
10 S 0.0916 0.2248 0.0819
11 S 0.2248 0.0916 0.5819
12 S 0.2930 0.4670 0.7744
13 S 0.3287 0.9223 0.0887
14 S 0.4670 0.2930 0.2744
15 S 0.5330 0.7070 0.7256
16 S 0.6713 0.0777 0.9113
17 S 0.7070 0.5330 0.2256
18 S 0.7752 0.9084 0.4181
19 S 0.9084 0.7752 0.9181
20 S 0.9223 0.3287 0.5887

=====

First-principles (PBE) data for LiAc4Sm3S8 after structural relaxation, as listed in the Alexandria database.

Calculated values
**Formation energy from raw total energies**: -1.941 eV per atom

Cell: 8.2910 8.2910 8.2910 Å, 60.05 60.05 60.05°
Atoms (fractional coordinates):
1 Li 0.0000 0.0000 0.0000
2 Ac 0.0000 0.0000 0.5000
3 Ac 0.0000 0.5000 0.0000
4 Ac 0.5000 0.0000 0.0000
5 Ac 0.5000 0.5000 0.5000
6 Sm 0.0000 0.5000 0.5000
7 Sm 0.5000 0.0000 0.5000
8 Sm 0.5000 0.5000 0.0000
9 S 0.2391 0.2391 0.7474
10 S 0.2391 0.7474 0.2391
11 S 0.2526 0.7609 0.7609
12 S 0.2567 0.2567 0.2567
13 S 0.7433 0.7433 0.7433
14 S 0.7474 0.2391 0.2391
15 S 0.7609 0.2526 0.7609
16 S 0.7609 0.7609 0.2526

=====

First-principles (PBE) data for LiAc2SmS4 after structural relaxation, as listed in the Alexandria database.

Calculated values
**Formation energy from raw total energies**: -1.885 eV per atom

Cell: 7.0649 4.1710 7.2457 Å, 90.00 109.87 90.00°
Atoms (fractional coordinates):
1 Li 0.0000 0.0000 0.0000
2 Ac 0.5000 0.0000 0.5000
3 Ac 0.5000 0.5000 0.0000
4 Sm 0.0000 0.5000 0.5000
5 S 0.2275 0.0000 0.7471
6 S 0.2280 0.5000 0.2407
7 S 0.7725 0.0000 0.2529
8 S 0.7720 0.5000 0.7593

=====

First-principles (PBE) data for Li2AcSmS4 after structural relaxation, as listed in the Alexandria database.

Calculated values
**Formation energy from raw total energies**: -1.776 eV per atom

Cell: 6.6802 4.1484 7.2220 Å, 90.00 111.24 90.00°
Atoms (fractional coordinates):
1 Li 0.0000 0.0000 0.0000
2 Li 0.0000 0.5000 0.5000
3 Ac 0.5000 0.0000 0.5000
4 Sm 0.5000 0.5000 0.0000
5 S 0.2397 0.5000 0.2311
6 S 0.2440 0.0000 0.7595
7 S 0.7560 0.0000 0.2405
8 S 0.7603 0.5000 0.7689

=====

First-principles (PBE) data for LiAcSm2S4 after structural relaxation, as listed in the Alexandria database.

Calculated values
**Formation energy from raw total energies**: -1.872 eV per atom

Cell: 6.9955 6.9955 13.8492 Å, 90.00 90.00 146.70°
Atoms (fractional coordinates):
1 Li 0.1482 0.8518 0.7500
2 Li 0.8518 0.1482 0.2500
3 Ac 0.1179 0.8821 0.2500
4 Ac 0.8821 0.1179 0.7500
5 Sm 0.3675 0.6325 0.0552
6 Sm 0.3675 0.6325 0.4448
7 Sm 0.6325 0.3675 0.5552
8 Sm 0.6325 0.3675 0.9448
9 S 0.0000 0.0000 0.0000
10 S 0.0000 0.0000 0.5000
11 S 0.2705 0.7295 0.6247
12 S 0.2705 0.7295 0.8753
13 S 0.4496 0.5504 0.2500
14 S 0.5504 0.4496 0.7500
15 S 0.7295 0.2705 0.1247
16 S 0.7295 0.2705 0.3753

=====

First-principles (PBE) data for LiAc2SnS4 after structural relaxation, as listed in the Alexandria database.

Calculated values
**Formation energy from raw total energies**: -1.428 eV per atom

Cell: 6.7361 4.4530 7.6300 Å, 90.00 111.96 90.00°
Atoms (fractional coordinates):
1 Li 0.0000 0.0000 0.0000
2 Ac 0.5000 0.0000 0.5000
3 Ac 0.5000 0.5000 0.0000
4 Sn 0.0000 0.5000 0.5000
5 S 0.2378 0.0000 0.7599
6 S 0.2459 0.5000 0.2406
7 S 0.7541 0.5000 0.7594
8 S 0.7622 0.0000 0.2401

=====

First-principles (PBE) data for LiAcSnS3 after structural relaxation, as listed in the Alexandria database.

Calculated values
**Formation energy from raw total energies**: -1.345 eV per atom

Cell: 8.7177 4.0606 8.9638 Å, 90.00 97.43 90.00°
Atoms (fractional coordinates):
1 Li 0.1036 0.2500 0.0886
2 Li 0.8964 0.7500 0.9114
3 Ac 0.1584 0.2500 0.7150
4 Ac 0.8416 0.7500 0.2850
5 Sn 0.3485 0.7500 0.3408
6 Sn 0.6515 0.2500 0.6592
7 S 0.1124 0.2500 0.3681
8 S 0.1801 0.7500 0.9623
9 S 0.3963 0.7500 0.6357
10 S 0.6037 0.2500 0.3643
11 S 0.8199 0.2500 0.0377
12 S 0.8876 0.7500 0.6319

=====

First-principles (PBE) data for Li3Ac3SnS8 after structural relaxation, as listed in the Alexandria database.

Calculated values
**Formation energy from raw total energies**: -1.487 eV per atom

Cell: 7.8418 7.8418 7.8418 Å, 65.28 65.28 65.28°
Atoms (fractional coordinates):
1 Li 0.0000 0.5000 0.5000
2 Li 0.5000 0.0000 0.5000
3 Li 0.5000 0.5000 0.0000
4 Ac 0.0000 0.0000 0.5000
5 Ac 0.0000 0.5000 0.0000
6 Ac 0.5000 0.0000 0.0000
7 Sn 0.5000 0.5000 0.5000
8 S 0.2532 0.2532 0.2532
9 S 0.2703 0.2703 0.7099
10 S 0.2703 0.7099 0.2703
11 S 0.2901 0.7297 0.7297
12 S 0.7099 0.2703 0.2703
13 S 0.7297 0.2901 0.7297
14 S 0.7297 0.7297 0.2901
15 S 0.7468 0.7468 0.7468

=====

First-principles (PBE) data for LiAc2SnS5 after structural relaxation, as listed in the Alexandria database.

Calculated values
**Formation energy from raw total energies**: -1.509 eV per atom

Cell: 9.0153 9.0153 11.7046 Å, 90.00 90.00 152.51°
Atoms (fractional coordinates):
1 Li 0.2259 0.7741 0.5000
2 Li 0.7741 0.2259 0.0000
3 Ac 0.1220 0.8780 0.7900
4 Ac 0.1288 0.8712 0.1690
5 Ac 0.8712 0.1288 0.6690
6 Ac 0.8780 0.1220 0.2900
7 Sn 0.4192 0.5808 0.9654
8 Sn 0.5808 0.4192 0.4654
9 S 0.0315 0.9685 0.5558
10 S 0.3000 0.7000 0.8298
11 S 0.3045 0.6955 0.1376
12 S 0.3601 0.6399 0.4838
13 S 0.4901 0.5099 0.7682
14 S 0.5099 0.4901 0.2682
15 S 0.6399 0.3601 0.9838
16 S 0.6955 0.3045 0.6376
17 S 0.7000 0.3000 0.3298
18 S 0.9685 0.0315 0.0558

=====

First-principles (PBE) data for SrLiAc2S4 after structural relaxation, as listed in the Alexandria database.

Calculated values
**Formation energy from raw total energies**: -1.901 eV per atom

Cell: 7.3020 7.3020 14.6939 Å, 90.00 90.00 146.67°
Atoms (fractional coordinates):
1 Sr 0.1135 0.8865 0.7500
2 Sr 0.8865 0.1135 0.2500
3 Li 0.1558 0.8442 0.2500
4 Li 0.8442 0.1558 0.7500
5 Ac 0.3675 0.6325 0.5590
6 Ac 0.3675 0.6325 0.9410
7 Ac 0.6325 0.3675 0.0590
8 Ac 0.6325 0.3675 0.4410
9 S 0.0000 0.0000 0.0000
10 S 0.0000 0.0000 0.5000
11 S 0.2757 0.7243 0.1280
12 S 0.2757 0.7243 0.3720
13 S 0.4463 0.5537 0.7500
14 S 0.5537 0.4463 0.2500
15 S 0.7243 0.2757 0.6280
16 S 0.7243 0.2757 0.8720

=====

First-principles (PBE) data for Sr3LiAc3S8 after structural relaxation, as listed in the Alexandria database.

Calculated values
**Formation energy from raw total energies**: -1.959 eV per atom

Cell: 8.5356 8.5356 8.5356 Å, 60.00 60.00 60.00°
Atoms (fractional coordinates):
1 Sr 0.0000 0.5000 0.5000
2 Sr 0.5000 0.0000 0.5000
3 Sr 0.5000 0.5000 0.0000
4 Li 0.5000 0.5000 0.5000
5 Ac 0.0000 0.0000 0.5000
6 Ac 0.0000 0.5000 0.0000
7 Ac 0.5000 0.0000 0.0000
8 S 0.2502 0.2502 0.2502
9 S 0.2558 0.7381 0.7381
10 S 0.2619 0.2619 0.7442
11 S 0.2619 0.7442 0.2619
12 S 0.7381 0.2558 0.7381
13 S 0.7381 0.7381 0.2558
14 S 0.7442 0.2619 0.2619
15 S 0.7498 0.7498 0.7498

=====

First-principles (PBE) data for LiAc2TaS6 after structural relaxation, as listed in the Alexandria database.

Calculated values
**Formation energy from raw total energies**: -1.609 eV per atom

Cell: 6.6666 6.6666 6.6666 Å, 63.52 63.52 63.52°
Atoms (fractional coordinates):
1 Li 0.0000 0.0000 0.0000
2 Ac 0.2483 0.2483 0.2483
3 Ac 0.7531 0.7531 0.7531
4 Ta 0.4998 0.4998 0.4998
5 S 0.1725 0.7322 0.3333
6 S 0.2636 0.6661 0.8251
7 S 0.3333 0.1725 0.7322
8 S 0.6661 0.8251 0.2636
9 S 0.7322 0.3333 0.1725
10 S 0.8251 0.2636 0.6661

=====

First-principles (PBE) data for Li2AcTbS4 after structural relaxation, as listed in the Alexandria database.

Calculated values
**Formation energy from raw total energies**: -1.785 eV per atom

Cell: 6.6729 4.1068 7.1675 Å, 90.00 111.21 90.00°
Atoms (fractional coordinates):
1 Li 0.0000 0.0000 0.0000
2 Li 0.0000 0.5000 0.5000
3 Ac 0.5000 0.0000 0.5000
4 Tb 0.5000 0.5000 0.0000
5 S 0.2408 0.5000 0.2264
6 S 0.2466 0.0000 0.7632
7 S 0.7534 0.0000 0.2368
8 S 0.7592 0.5000 0.7736

=====

First-principles (PBE) data for LiAc2TbS4 after structural relaxation, as listed in the Alexandria database.

Calculated values
**Formation energy from raw total energies**: -1.882 eV per atom

Cell: 7.0531 4.1355 7.1669 Å, 90.00 109.75 90.00°
Atoms (fractional coordinates):
1 Li 0.0000 0.0000 0.0000
2 Ac 0.5000 0.0000 0.5000
3 Ac 0.5000 0.5000 0.0000
4 Tb 0.0000 0.5000 0.5000
5 S 0.2219 0.0000 0.7430
6 S 0.2236 0.5000 0.2415
7 S 0.7764 0.5000 0.7585
8 S 0.7781 0.0000 0.2570

=====

First-principles (PBE) data for Li3Ac2TbS6 after structural relaxation, as listed in the Alexandria database.

Calculated values
**Formation energy from raw total energies**: -1.797 eV per atom

Cell: 7.3789 7.3789 6.5675 Å, 98.68 98.68 121.93°
Atoms (fractional coordinates):
1 Li 0.0000 0.0000 0.0000
2 Li 0.3749 0.6251 0.0000
3 Li 0.6251 0.3749 0.0000
4 Ac 0.1700 0.8300 0.5000
5 Ac 0.8300 0.1700 0.5000
6 Tb 0.5000 0.5000 0.5000
7 S 0.1200 0.4272 0.2454
8 S 0.2526 0.2526 0.7526
9 S 0.4272 0.1200 0.2454
10 S 0.5728 0.8800 0.7546
11 S 0.7474 0.7474 0.2474
12 S 0.8800 0.5728 0.7546

=====

First-principles (PBE) data for LiAcTeS after structural relaxation, as listed in the Alexandria database.

Calculated values
**Formation energy from raw total energies**: -1.584 eV per atom

Cell: 4.8030 4.8030 9.8414 Å, 90.00 90.00 90.00°
Atoms (fractional coordinates):
1 Li 0.2500 0.7500 0.0000
2 Li 0.7500 0.2500 0.0000
3 Ac 0.2500 0.2500 0.3370
4 Ac 0.7500 0.7500 0.6630
5 Te 0.2500 0.2500 0.8449
6 Te 0.7500 0.7500 0.1551
7 S 0.2500 0.7500 0.5000
8 S 0.7500 0.2500 0.5000

=====

First-principles (PBE) data for Li2AcTeS4 after structural relaxation, as listed in the Alexandria database.

Calculated values
**Formation energy from raw total energies**: -1.041 eV per atom

Cell: 7.9532 7.9532 8.4371 Å, 120.31 120.31 85.55°
Atoms (fractional coordinates):
1 Li 0.0000 0.0000 0.0000
2 Li 0.0000 0.0000 0.5000
3 Li 0.0000 0.5000 0.0000
4 Li 0.5000 0.0000 0.5000
5 Ac 0.5000 0.5000 0.0000
6 Ac 0.5000 0.5000 0.5000
7 Te 0.0000 0.5000 0.5000
8 Te 0.5000 0.0000 0.0000
9 S 0.1652 0.7018 0.9262
10 S 0.2499 0.2498 0.0137
11 S 0.2498 0.2499 0.5137
12 S 0.2982 0.8348 0.5738
13 S 0.7018 0.1652 0.4262
14 S 0.7502 0.7501 0.4863
15 S 0.7501 0.7502 0.9863
16 S 0.8348 0.2982 0.0738

=====

First-principles (PBE) data for Li2Ac3Te4S2 after structural relaxation, as listed in the Alexandria database.

Calculated values
**Formation energy from raw total energies**: -1.317 eV per atom

Cell: 13.1038 13.1038 13.1038 Å, 157.02 157.02 32.73°
Atoms (fractional coordinates):
1 Li 0.1185 0.1185 0.0000
2 Li 0.8815 0.8815 0.0000
3 Ac 0.3215 0.3215 0.0000
4 Ac 0.5000 0.5000 0.0000
5 Ac 0.6785 0.6785 0.0000
6 Te 0.0858 0.5858 0.5000
7 Te 0.4142 0.9142 0.5000
8 Te 0.5858 0.0858 0.5000
9 Te 0.9142 0.4142 0.5000
10 S 0.2101 0.2101 0.0000
11 S 0.7899 0.7899 0.0000

=====

First-principles (PBE) data for LiAc2TeS5 after structural relaxation, as listed in the Alexandria database.

Calculated values
**Formation energy from raw total energies**: -1.350 eV per atom

Cell: 8.7847 8.7847 11.8388 Å, 90.00 90.00 151.35°
Atoms (fractional coordinates):
1 Li 0.0167 0.9833 0.5000
2 Li 0.9833 0.0167 0.0000
3 Ac 0.3798 0.6202 0.3209
4 Ac 0.3830 0.6170 0.7151
5 Ac 0.6170 0.3830 0.2151
6 Ac 0.6202 0.3798 0.8209
7 Te 0.3060 0.6940 0.0350
8 Te 0.6940 0.3060 0.5350
9 S 0.0021 0.9979 0.2983
10 S 0.1387 0.8613 0.0190
11 S 0.2051 0.7949 0.3455
12 S 0.2073 0.7927 0.6565
13 S 0.4524 0.5476 0.0698
14 S 0.5476 0.4524 0.5698
15 S 0.7927 0.2073 0.1565
16 S 0.7949 0.2051 0.8455
17 S 0.8613 0.1387 0.5190
18 S 0.9979 0.0021 0.7983